(w)
Density functional theory data (PBE) for crystalline SmY4Tm6 at its relaxed geometry.

abc: 8.456 8.456 8.456
angles: 126.59 126.59 78.93
Element x y z (fractional)
1 Sm 0.000 0.000 0.000
2 Y 0.252 0.252 0.661
3 Y 0.409 0.748 0.000
4 Y 0.591 0.591 0.339
5 Y 0.748 0.409 0.000
6 Tm 0.000 0.500 0.500
7 Tm 0.062 0.576 0.000
8 Tm 0.424 0.424 0.486
9 Tm 0.500 0.000 0.500
10 Tm 0.576 0.062 0.000
11 Tm 0.938 0.938 0.514

Results
Space-group type: I-42m
Magnetization in μB per cell: 0.0
Calculated density in g/cm³: 6.69



(x)
Density functional theory data (PBE) for crystalline SmY4Tm6 at its relaxed geometry.

abc: 9.637 9.637 9.637
angles: 140.36 140.36 57.30
Element x y z (fractional)
1 Sm 0.000 0.000 0.000
2 Y 0.013 0.639 0.000
3 Y 0.361 0.361 0.375
4 Y 0.639 0.013 0.000
5 Y 0.987 0.987 0.625
6 Tm 0.000 0.500 0.500
7 Tm 0.193 0.193 0.643
8 Tm 0.450 0.807 0.000
9 Tm 0.500 0.000 0.500
10 Tm 0.550 0.550 0.357
11 Tm 0.807 0.450 0.000

Results
Space-group type: I-42m
Magnetization in μB per cell: 0.0
Calculated density in g/cm³: 6.99



The least stable of them is (w).



(w)
Density functional theory data (PBE) for crystalline Sm4Y2Tm at its relaxed geometry.

abc: 6.287 6.587 11.512
angles: 90.00 105.01 90.00
Element x y z (fractional)
1 Sm 0.051 0.250 0.367
2 Sm 0.146 0.250 0.952
3 Sm 0.346 0.511 0.215
4 Sm 0.346 0.989 0.215
5 Sm 0.654 0.011 0.785
6 Sm 0.654 0.489 0.785
7 Sm 0.854 0.750 0.048
8 Sm 0.949 0.750 0.633
9 Y 0.293 0.750 0.919
10 Y 0.382 0.750 0.509
11 Y 0.618 0.250 0.491
12 Y 0.707 0.250 0.081
13 Tm 0.155 0.250 0.667
14 Tm 0.845 0.750 0.333

Results
Space-group type: P2_1/m
Magnetization in μB per cell: 0.0
Calculated density in g/cm³: 6.84



(x)
Density functional theory data (PBE) for crystalline Sm4Y2Tm at its relaxed geometry.

abc: 11.347 11.347 12.096
angles: 90.00 90.00 161.99
Element x y z (fractional)
1 Sm 0.000 0.000 0.000
2 Sm 0.000 0.000 0.500
3 Sm 0.246 0.754 0.620
4 Sm 0.246 0.754 0.880
5 Sm 0.460 0.540 0.250
6 Sm 0.540 0.460 0.750
7 Sm 0.754 0.246 0.120
8 Sm 0.754 0.246 0.380
9 Y 0.374 0.626 0.007
10 Y 0.374 0.626 0.493
11 Y 0.626 0.374 0.507
12 Y 0.626 0.374 0.993
13 Tm 0.113 0.887 0.250
14 Tm 0.887 0.113 0.750

Results
Space-group type: Cmcm
Magnetization in μB per cell: 0.0
Calculated density in g/cm³: 6.54



The least stable of them is (x).



(w)
Density functional theory data (PBE) for crystalline SmY3Tm6 at its relaxed geometry.

abc: 10.892 10.892 6.122
angles: 90.00 90.00 119.47
Element x y z (fractional)
1 Sm 0.209 0.791 0.500
2 Sm 0.791 0.209 0.000
3 Y 0.065 0.280 0.697
4 Y 0.280 0.065 0.197
5 Y 0.391 0.609 0.588
6 Y 0.609 0.391 0.088
7 Y 0.720 0.935 0.697
8 Y 0.935 0.720 0.197
9 Tm 0.035 0.458 0.290
10 Tm 0.048 0.952 0.731
11 Tm 0.285 0.715 0.017
12 Tm 0.287 0.384 0.129
13 Tm 0.384 0.287 0.629
14 Tm 0.458 0.035 0.790
15 Tm 0.542 0.965 0.290
16 Tm 0.616 0.713 0.129
17 Tm 0.713 0.616 0.629
18 Tm 0.715 0.285 0.517
19 Tm 0.952 0.048 0.231
20 Tm 0.965 0.542 0.790

Results
Space-group type: Cmc2_1
Magnetization in μB per cell: 0.0
Calculated density in g/cm³: 7.51



(x)
Density functional theory data (PBE) for crystalline SmY3Tm6 at its relaxed geometry.

abc: 6.829 6.829 6.829
angles: 91.24 91.24 91.24
Element x y z (fractional)
1 Sm 0.000 0.000 0.000
2 Y 0.244 0.244 0.244
3 Y 0.498 0.498 0.498
4 Y 0.742 0.742 0.742
5 Tm 0.014 0.340 0.675
6 Tm 0.176 0.842 0.515
7 Tm 0.340 0.675 0.014
8 Tm 0.515 0.176 0.842
9 Tm 0.675 0.014 0.340
10 Tm 0.842 0.515 0.176

Results
Space-group type: R3
Magnetization in μB per cell: 0.0
Calculated density in g/cm³: 7.47



The least stable of them is (x).



(w)
Density functional theory data (PBE) for crystalline Sm5YTm3 at its relaxed geometry.

abc: 9.536 9.536 9.867
angles: 120.46 120.46 74.76
Element x y z (fractional)
1 Sm 0.102 0.608 0.256
2 Sm 0.228 0.228 0.237
3 Sm 0.245 0.755 0.000
4 Sm 0.277 0.277 0.957
5 Sm 0.392 0.898 0.744
6 Sm 0.608 0.102 0.256
7 Sm 0.723 0.723 0.043
8 Sm 0.755 0.245 0.000
9 Sm 0.772 0.772 0.763
10 Sm 0.898 0.392 0.744
11 Y 0.247 0.247 0.593
12 Y 0.753 0.753 0.407
13 Tm 0.000 0.000 0.500
14 Tm 0.009 0.009 0.825
15 Tm 0.484 0.484 0.645
16 Tm 0.500 0.500 0.000
17 Tm 0.516 0.516 0.355
18 Tm 0.991 0.991 0.175

Results
Space-group type: C2/m
Magnetization in μB per cell: 0.0
Calculated density in g/cm³: 6.71



(x)
Density functional theory data (PBE) for crystalline Sm5YTm3 at its relaxed geometry.

abc: 10.509 10.509 10.509
angles: 139.57 68.26 127.53
Element x y z (fractional)
1 Sm 0.159 0.319 0.332
2 Sm 0.159 0.827 0.839
3 Sm 0.296 0.046 0.250
4 Sm 0.488 0.319 0.661
5 Sm 0.488 0.827 0.168
6 Sm 0.512 0.173 0.832
7 Sm 0.512 0.681 0.339
8 Sm 0.704 0.954 0.750
9 Sm 0.841 0.173 0.161
10 Sm 0.841 0.681 0.668
11 Y 0.336 0.586 0.750
12 Y 0.664 0.414 0.250
13 Tm 0.000 0.000 0.500
14 Tm 0.000 0.500 0.000
15 Tm 0.175 0.747 0.428
16 Tm 0.181 0.253 0.928
17 Tm 0.819 0.747 0.072
18 Tm 0.825 0.253 0.572

Results
Space-group type: Imma
Magnetization in μB per cell: 0.0
Calculated density in g/cm³: 7.62



The least stable of them is (w).